The following is a DFT calculation (PBE) of crystalline V4Si2H at its relaxed geometry.

- magnetic moment (μB/f.u.) = 0.000
- space-group type = P2_1/m
- distance to the lowest polymorph of the same formula (meV per atom) = 0
- total energy (hartree per atom) = -0.28115

Unit cell a=4.696 b=5.031 c=7.175 alpha=90.00 beta=103.87 gamma=90.00
Positions (direct):
V1 0.160 0.250 0.065
V2 0.261 0.511 0.707
V3 0.261 0.989 0.707
V4 0.264 0.750 0.349
V5 0.736 0.250 0.651
V6 0.739 0.011 0.293
V7 0.739 0.489 0.293
V8 0.840 0.750 0.935
Si1 0.247 0.250 0.406
Si2 0.369 0.750 0.029
Si3 0.631 0.250 0.971
Si4 0.753 0.750 0.594
H1 0.083 0.250 0.806
H2 0.917 0.750 0.194